(1)
A plane-wave DFT calculation with PBE-GGA was carried out for a relaxed Hf4TlIn5 crystal.

The structure in extended XYZ format:
```
10
Lattice="3.145 0.000 0.000 0.000 3.145 0.000 0.000 0.000 23.272" Properties=species:S:1:pos:R:3 pbc="T T T"
Hf 0.000 0.000 9.403
Hf 0.000 0.000 5.006
Hf 0.000 0.000 18.266
Hf 0.000 0.000 13.869
In 1.572 1.572 20.468
In 1.572 1.572 2.804
In 1.572 1.572 16.053
In 1.572 1.572 7.220
In 1.572 1.572 11.636
Tl 0.000 0.000 0.000
```

## Properties
The total moment comes out at 0.0 μB/cell. As for the energy of formation from the pure elements: -0.08 eV per atom. The value obtained for the density of states at the Fermi level is 6.81 states/eV/cell. As for the symmetry: P4/mmm, No. 123. The calculation puts the calculated volume at 23.014 Å³/atom.

=====

(2)
A plane-wave DFT calculation with PBE-GGA was carried out for a relaxed Cr3H4Os crystal.

The structure in extended XYZ format:
```
8
Lattice="-2.814 2.382 1.124 -2.426 -1.704 -2.463 -1.025 -2.506 2.743" Properties=species:S:1:pos:R:3 pbc="T T T"
H -3.133 -0.914 0.702
H -1.407 1.191 0.562
H -0.513 -1.253 1.372
H -1.213 -0.852 -1.232
Cr -2.620 0.339 -0.670
Cr -1.726 -2.105 0.140
Cr -1.920 -0.062 1.934
Os 0.000 0.000 0.000
```

## Properties
The total moment comes out at 1.0 μB/cell. The value obtained for the density of states at the Fermi level is 5.42 states/eV/cell. As for the symmetry: Pm-3m, No. 221. The calculation puts the calculated volume at 7.159 Å³/atom. Its total energy is -6.64 eV per atom.

=====

(3)
A plane-wave DFT calculation with PBE-GGA was carried out for a relaxed SmThPd crystal.

The structure in extended XYZ format:
```
6
Lattice="-3.150 1.813 -0.576 1.946 -2.855 3.901 1.644 11.695 4.254" Properties=species:S:1:pos:R:3 pbc="T T T"
Th 1.800 2.720 4.571
Th -1.360 7.934 3.008
Pd 0.234 7.781 5.580
Pd 0.206 2.872 1.999
Sm 0.406 -0.160 3.163
Sm 0.034 10.813 4.416
```

## Properties
The total moment comes out at 0.9 μB/cell. As for the energy of formation from the pure elements: -0.45 eV per atom. The value obtained for the density of states at the Fermi level is 6.89 states/eV/cell. As for the symmetry: C2/m, No. 12. The calculation puts the calculated volume at 27.125 Å³/atom.

=====

(4)
A plane-wave DFT calculation with PBE-GGA was carried out for a relaxed PrZrGa2 crystal.

The structure in extended XYZ format:
```
4
Lattice="3.655 0.000 0.000 0.000 3.655 0.000 0.000 0.000 6.663" Properties=species:S:1:pos:R:3 pbc="T T T"
Pr 1.827 1.827 3.332
Ga 0.000 0.000 1.380
Ga 0.000 0.000 5.284
Zr 1.827 1.827 0.000
```

## Properties
The total moment comes out at 0.3 μB/cell. As for the energy of formation from the pure elements: -0.48 eV per atom. The value obtained for the density of states at the Fermi level is 3.54 states/eV/cell. As for the symmetry: P4/mmm, No. 123. The calculation puts the calculated volume at 22.253 Å³/atom.

=====

(5)
A plane-wave DFT calculation with PBE-GGA was carried out for a relaxed Ac12Co6Sb crystal.

The structure in extended XYZ format:
```
19
Lattice="-4.980 7.749 -0.161 1.676 -2.753 -8.631 -4.677 -6.564 4.464" Properties=species:S:1:pos:R:3 pbc="T T T"
Co -6.123 2.550 -1.294
Co -1.858 -4.118 -3.034
Co -2.828 -1.153 -6.029
Co -2.697 2.626 -3.931
Co -5.153 -0.415 1.701
Co -5.284 -4.194 -0.397
Ac -4.344 -2.877 -4.020
Ac -6.385 -1.378 -0.799
Ac -4.103 4.617 -2.271
Ac -3.878 -6.185 -2.057
Ac -0.719 -3.322 -5.635
Ac -3.637 1.309 -0.308
Ac -1.596 -0.190 -3.529
Ac -2.751 -2.687 -0.493
Ac -5.145 -3.253 2.501
Ac -7.262 1.754 1.307
Ac -5.229 1.119 -3.835
Ac -2.836 1.685 -6.829
Sb 0.000 0.000 0.000
```

## Properties
The total moment comes out at 0.0 μB/cell. The value obtained for the density of states at the Fermi level is 13.76 states/eV/cell. The calculation puts the uncorrected formation energy at -131.9 meV/atom. As for the symmetry: Im-3, No. 204. The calculation puts the calculated volume at 31.686 Å³/atom.

=====

(6)
A plane-wave DFT calculation with PBE-GGA was carried out for a relaxed NaTl2PtI crystal.

The structure in extended XYZ format:
```
5
Lattice="-2.188 -3.378 3.496 0.195 -3.892 -3.638 5.251 -1.475 1.860" Properties=species:S:1:pos:R:3 pbc="T T T"
Pt 0.000 0.000 0.000
I 1.629 -4.373 0.859
Na 2.625 -0.738 0.930
Tl -1.094 -1.689 1.748
Tl 0.098 -1.946 -1.819
```

## Properties
The total moment comes out at 0.0 μB/cell. The value obtained for the density of states at the Fermi level is 0.90 states/eV/cell. The calculation puts the uncorrected formation energy at -394.6 meV/atom. As for the symmetry: P4/mmm, No. 123. The calculation puts the calculated volume at 32.759 Å³/atom.

=====

(7)
A plane-wave DFT calculation with PBE-GGA was carried out for a relaxed TmAlFeSi2 crystal.

The structure in extended XYZ format:
```
10
Lattice="-2.887 -3.141 -3.488 0.195 -4.077 3.511 -4.556 1.706 2.234" Properties=species:S:1:pos:R:3 pbc="T T T"
Si -3.281 -2.931 -1.157
Si -5.497 -2.101 -0.071
Si -3.967 -2.581 3.414
Si -1.752 -3.411 2.328
Tm -2.861 -0.854 1.231
Tm -4.387 -4.658 1.026
Al -1.002 -2.163 -0.392
Al -1.690 -5.056 0.415
Fe 0.000 0.000 0.000
Fe 0.097 -2.039 1.755
```

## Properties
The total moment comes out at 0.2 μB/cell. The value obtained for the density of states at the Fermi level is 4.54 states/eV/cell. The calculation puts the uncorrected formation energy at -482.0 meV/atom. As for the symmetry: Pmma, No. 51. The calculation puts the calculated volume at 15.884 Å³/atom.

=====

(8)
A plane-wave DFT calculation with PBE-GGA was carried out for a relaxed AlInIr crystal.

The structure in extended XYZ format:
```
6
Lattice="-2.350 3.382 -1.292 -3.551 -0.620 -2.373 -5.938 0.476 4.836" Properties=species:S:1:pos:R:3 pbc="T T T"
Ir -8.979 2.417 1.031
Ir -2.859 0.821 0.139
Al -7.437 1.449 2.899
Al -4.402 1.788 -1.730
In -4.452 0.642 2.569
In -7.386 2.595 -1.399
```

## Properties
The total moment comes out at 0.0 μB/cell. As for the energy of formation from the pure elements: -0.40 eV per atom. The value obtained for the density of states at the Fermi level is 2.65 states/eV/cell. As for the symmetry: R-3m, No. 166. The calculation puts the calculated volume at 19.510 Å³/atom.

=====

(9)
A plane-wave DFT calculation with PBE-GGA was carried out for a relaxed Pu5Te4Br crystal.

The structure in extended XYZ format:
```
10
Lattice="4.350 0.000 0.533 2.142 3.786 0.533 -0.001 -0.001 18.018" Properties=species:S:1:pos:R:3 pbc="T T T"
Pu 0.000 0.000 0.000
Pu 5.214 3.040 11.496
Pu 3.882 2.264 4.349
Pu 2.609 1.521 14.736
Pu 1.277 0.745 7.589
Te 1.941 1.132 2.176
Te 5.824 3.396 6.519
Te 0.667 0.389 12.566
Te 4.550 2.653 16.908
Br 3.246 1.893 9.542
```

## Properties
The total moment comes out at 6.3 μB/cell. The value obtained for the density of states at the Fermi level is 48.50 states/eV/cell. The calculation puts the uncorrected formation energy at -1009.3 meV/atom. As for the symmetry: R-3m, No. 166. The calculation puts the calculated volume at 29.675 Å³/atom.

=====

(10)
A plane-wave DFT calculation with PBE-GGA was carried out for a relaxed La6P2I3Cl crystal.

The structure in extended XYZ format:
```
12
Lattice="7.338 -0.003 -0.001 -3.670 6.354 -0.001 -1.224 -2.120 7.910" Properties=species:S:1:pos:R:3 pbc="T T T"
La 0.025 0.044 6.353
La 3.697 2.065 6.350
La -1.253 2.166 1.558
La 2.502 -0.003 1.558
La 2.418 4.188 1.555
La -0.059 4.234 6.350
I 4.889 -0.002 3.954
I -2.446 4.234 3.954
I 1.222 2.116 3.954
P 3.666 2.118 -0.001
P 0.002 4.233 -0.001
Cl 0.000 0.000 0.000
```

## Properties
The total moment comes out at 0.0 μB/cell. The value obtained for the density of states at the Fermi level is 7.71 states/eV/cell. The calculation puts the uncorrected formation energy at -1393.9 meV/atom. As for the symmetry: C2/m, No. 12. The calculation puts the calculated volume at 30.725 Å³/atom.

=====

(11)
A plane-wave DFT calculation with PBE-GGA was carried out for a relaxed KYZr crystal.

The structure in extended XYZ format:
```
6
Lattice="-2.848 -2.069 -2.707 -1.189 -2.809 3.398 -8.613 9.525 1.759" Properties=species:S:1:pos:R:3 pbc="T T T"
Y -6.700 2.847 2.601
Y -6.038 -0.026 0.457
Zr -7.138 2.873 -0.600
Zr -4.411 2.758 0.260
K -2.954 -2.401 2.648
K -9.798 5.214 0.397
```

## Properties
The total moment comes out at 0.0 μB/cell. As for the energy of formation from the pure elements: 0.30 eV per atom. The value obtained for the density of states at the Fermi level is 5.17 states/eV/cell. As for the symmetry: P1, No. 1. The calculation puts the calculated volume at 43.105 Å³/atom.

=====

(12)
A plane-wave DFT calculation with PBE-GGA was carried out for a relaxed AlCr2Sb crystal.

The structure in extended XYZ format:
```
4
Lattice="3.230 0.000 0.000 0.000 3.230 0.000 0.000 0.000 5.735" Properties=species:S:1:pos:R:3 pbc="T T T"
Cr 0.000 0.000 5.674
Cr 1.615 1.615 1.368
Sb 0.000 0.000 2.753
Al 1.615 1.615 4.543
```

## Properties
The total moment comes out at 0.0 μB/cell. The value obtained for the density of states at the Fermi level is 1.96 states/eV/cell. The calculation puts the uncorrected formation energy at 191.2 meV/atom. As for the symmetry: P4mm, No. 99. The calculation puts the calculated volume at 14.959 Å³/atom.